Entry from the Open Quantum Materials Database: ScUNb after structural relaxation (PBE).

Cell: 4.674 4.674 4.674 Å, 60.00 60.00 60.00°
Fractional coordinates of all 3 atoms:
1 Nb 0.000 0.000 0.000
2 U 0.750 0.750 0.750
3 Sc 0.250 0.250 0.250

Values from the calculation:
As for the relative energy among the computed polymorphs: 0.0 meV/atom. Its space group is F-43m. Its formation energy is 2.46 eV/f.u.